Material: Ba2GaHgPd6
Method: DFT, PBE
State: optimized geometry

a b c (Å): 5.6430 6.8378 7.2282
angles (deg): 78.32 67.03 65.68
With the nearest neighbours (Å) after each atom.
Space group P-1 (No. 2)
Asymmetric unit:
Ba  0.2447  0.2153  0.2957 x2  8 Pd 3.26-3.65, 2 Hg 3.63-3.64
Ga  0.0000  0.0000  0.0000 x1  6 Pd 2.51-2.63
Hg  0.5000  0.5000  0.5000 x1  6 Pd 2.76-2.83
Pd  0.2385  0.2462  0.7789 x2  1 Ga 2.51, 3 Pd 2.73-2.81, 1 Hg 2.76
Pd  0.2461  0.5933  0.9114 x2  1 Ga 2.63, 4 Pd 2.73-2.76, 1 Hg 2.83
Pd  0.2653  0.7530  0.2197 x2  1 Ga 2.51, 3 Pd 2.73-2.81, 1 Hg 2.76

## Properties
DOS(E_F), states/eV/f.u.: 3.37
Energy of formation from the pure elements, eV/atom: -0.514